1.
Compound: RbPuPb2
Source: Alexandria
Functional: PBE-GGA
Structure: optimized geometry

abc: 5.3517 5.3517 20.1846
angles: 90.00 90.00 120.00
Space group R-3m (No. 166, hexagonal axes)
Inequivalent atoms, fractional coordinates:
Rb  0.0000  0.0000  0.0000
Pu  0.0000  0.0000  0.5000
Pb  0.0000  0.0000  0.2115

Output
The calculation puts the volume at 500.6 Å³ per cell. The polymorph energy (0 for the lowest one) is 0.1929 eV per atom. The value obtained for the energy relative to the elements is 0.10 eV/atom. The crystal system is trigonal.



2.
Compound: RbPuPb2
Source: Alexandria
Functional: PBE-GGA
Structure: optimized geometry

abc: 3.509 3.509 10.635
angles: 90.00 90.00 90.00
Space group P4/mmm (No. 123)
Inequivalent atoms, fractional coordinates:
Rb  0.000  0.000  0.000
Pu  0.000  0.000  0.500
Pb  0.500  0.500  0.277

Output
The calculation puts the volume at 131.0 Å³ per cell. The polymorph energy (0 for the lowest one) is 0.0000 eV per atom. The value obtained for the energy relative to the elements is -0.10 eV/atom. The crystal system is tetragonal.



3.
Compound: Rb3Pu3PbS8
Source: Alexandria
Functional: PBE-GGA
Structure: optimized geometry

abc: 8.2485 8.2485 22.9266
angles: 90.00 90.00 120.00
Space group R-3m (No. 166, hexagonal axes)
Inequivalent atoms, fractional coordinates:
Rb  0.0000  0.5000  0.0000
Pu  0.0000  0.5000  0.5000
Pb  0.0000  0.0000  0.5000
S  0.0000  0.0000  0.2296
S  0.0249  0.5125  0.7705

Output
The calculation puts the volume at 1350.9 Å³ per cell. The crystal system is trigonal. As for the energy relative to the elements, uncorrected: -1349 meV per atom.



4.
Compound: Rb2PuPbS4
Source: Alexandria
Functional: PBE-GGA
Structure: optimized geometry

abc: 7.386 4.209 7.961
angles: 90.00 107.41 90.00
Space group P2/m (No. 10)
Inequivalent atoms, fractional coordinates:
Rb  0.000  0.000  0.000
Rb  0.500  0.500  0.000
Pu  0.000  0.500  0.500
Pb  0.500  0.000  0.500
S  0.209  0.000  0.690
S  0.238  0.500  0.304

Output
The calculation puts the volume at 236.1 Å³ per cell. The crystal system is monoclinic. As for the energy relative to the elements, uncorrected: -1172 meV per atom.



5.
Compound: Rb3PuPb2S6
Source: Alexandria
Functional: PBE-GGA
Structure: optimized geometry

abc: 7.386 12.770 7.955
angles: 90.00 108.02 90.00
Space group C2/m (No. 12)
Inequivalent atoms, fractional coordinates:
Rb  0.000  0.000  0.000
Rb  0.000  0.325  0.000
Pu  0.000  0.500  0.500
Pb  0.000  0.166  0.500
S  0.215  0.349  0.695
S  0.233  0.500  0.303

Output
The calculation puts the volume at 713.6 Å³ per cell. The crystal system is monoclinic. As for the energy relative to the elements, uncorrected: -1034 meV per atom.



6.
Compound: RbPuPbS3
Source: Alexandria
Functional: PBE-GGA
Structure: optimized geometry

abc: 8.079 4.165 10.322
angles: 90.00 93.56 90.00
Space group P2_1/m (No. 11)
Inequivalent atoms, fractional coordinates:
Rb  0.084  0.250  0.170
Pu  0.421  0.250  0.836
Pb  0.263  0.750  0.519
S  0.137  0.250  0.666
S  0.307  0.750  0.985
S  0.457  0.250  0.316

Output
The calculation puts the volume at 346.6 Å³ per cell. The crystal system is monoclinic. As for the energy relative to the elements, uncorrected: -1219 meV per atom.



7.
Compound: RbPuPbSe3
Source: Alexandria
Functional: PBE-GGA
Structure: optimized geometry

abc: 8.757 4.302 12.312
angles: 90.00 108.45 90.00
Space group P2_1/m (No. 11)
Inequivalent atoms, fractional coordinates:
Rb  0.192  0.250  0.217
Pu  0.368  0.750  0.853
Pb  0.174  0.250  0.573
Se  0.125  0.250  0.788
Se  0.395  0.750  0.620
Se  0.397  0.750  0.091

Output
The calculation puts the volume at 439.9 Å³ per cell. The crystal system is monoclinic. As for the energy relative to the elements, uncorrected: -1092 meV per atom.



8.
Compound: Rb2PuPbSe4
Source: Alexandria
Functional: PBE-GGA
Structure: optimized geometry

abc: 7.657 4.380 8.280
angles: 90.00 107.41 90.00
Space group P2/m (No. 10)
Inequivalent atoms, fractional coordinates:
Rb  0.000  0.000  0.000
Rb  0.500  0.500  0.000
Pu  0.000  0.500  0.500
Pb  0.500  0.000  0.500
Se  0.212  0.000  0.694
Se  0.241  0.500  0.300

Output
The calculation puts the volume at 265.0 Å³ per cell. The crystal system is monoclinic. As for the energy relative to the elements, uncorrected: -1117 meV per atom.



9.
Compound: Rb4Pu3PbSe8
Source: Alexandria
Functional: PBE-GGA
Structure: optimized geometry

abc: 8.7203 8.7203 23.7460
angles: 90.00 90.00 120.00
Space group R-3m (No. 166, hexagonal axes)
Inequivalent atoms, fractional coordinates:
Rb  0.0000  0.0000  0.0000
Rb  0.0000  0.5000  0.0000
Pu  0.0000  0.5000  0.5000
Pb  0.0000  0.0000  0.5000
Se  0.0000  0.0000  0.2311
Se  0.0180  0.5090  0.7681

Output
The calculation puts the volume at 1563.8 Å³ per cell. The crystal system is trigonal. As for the energy relative to the elements, uncorrected: -1295 meV per atom.



10.
Compound: Rb3PuPb2Se6
Source: Alexandria
Functional: PBE-GGA
Structure: optimized geometry

abc: 7.664 13.256 8.279
angles: 90.00 107.95 90.00
Space group C2/m (No. 12)
Inequivalent atoms, fractional coordinates:
Rb  0.000  0.000  0.000
Rb  0.000  0.325  0.000
Pu  0.000  0.500  0.500
Pb  0.000  0.166  0.500
Se  0.219  0.347  0.698
Se  0.237  0.500  0.300

Output
The calculation puts the volume at 800.2 Å³ per cell. The crystal system is monoclinic. As for the energy relative to the elements, uncorrected: -1000 meV per atom.



11.
Compound: RbPu2Te4Pb
Source: Alexandria
Functional: PBE-GGA
Structure: optimized geometry

abc: 4.640 15.696 16.945
angles: 90.00 90.00 90.00
Space group Cmcm (No. 63)
Inequivalent atoms, fractional coordinates:
Rb  0.000  0.132  0.250
Pu  0.000  0.375  0.060
Te  0.000  0.000  0.000
Te  0.000  0.262  0.593
Te  0.000  0.461  0.250
Pb  0.000  0.162  0.750

Output
The calculation puts the volume at 1234.2 Å³ per cell. The crystal system is orthorhombic. As for the energy relative to the elements, uncorrected: -787 meV per atom.



12.
Compound: Rb3Pu2Te6Pb
Source: Alexandria
Functional: PBE-GGA
Structure: optimized geometry

abc: 8.060 13.952 8.869
angles: 90.00 107.62 90.00
Space group C2/m (No. 12)
Inequivalent atoms, fractional coordinates:
Rb  0.000  0.000  0.000
Rb  0.000  0.340  0.000
Pu  0.000  0.167  0.500
Te  0.216  0.000  0.698
Te  0.242  0.325  0.701
Pb  0.000  0.500  0.500

Output
The calculation puts the volume at 950.5 Å³ per cell. The crystal system is monoclinic. As for the energy relative to the elements, uncorrected: -954 meV per atom.



13.
Compound: RbPuTe3Pb
Source: Alexandria
Functional: PBE-GGA
Structure: optimized geometry

abc: 9.593 4.556 11.938
angles: 90.00 107.95 90.00
Space group P2_1/m (No. 11)
Inequivalent atoms, fractional coordinates:
Rb  0.215  0.250  0.255
Pu  0.361  0.750  0.845
Te  0.121  0.250  0.806
Te  0.358  0.750  0.578
Te  0.407  0.750  0.113
Pb  0.141  0.250  0.562

Output
The calculation puts the volume at 496.4 Å³ per cell. The crystal system is monoclinic. As for the energy relative to the elements, uncorrected: -815 meV per atom.



14.
Compound: Rb2PuTe4Pb
Source: Alexandria
Functional: PBE-GGA
Structure: optimized geometry

abc: 8.146 4.669 8.835
angles: 90.00 107.41 90.00
Space group P2/m (No. 10)
Inequivalent atoms, fractional coordinates:
Rb  0.000  0.000  0.000
Rb  0.500  0.500  0.000
Pu  0.000  0.500  0.500
Te  0.217  0.000  0.697
Te  0.247  0.500  0.298
Pb  0.500  0.000  0.500

Output
The calculation puts the volume at 320.7 Å³ per cell. The crystal system is monoclinic. As for the energy relative to the elements, uncorrected: -852 meV per atom.



15.
Compound: PuRh2Pb2
Source: Alexandria
Functional: PBE-GGA
Structure: optimized geometry

abc: 5.381 4.240 10.500
angles: 90.00 102.89 90.00
Space group P2_1/m (No. 11)
Inequivalent atoms, fractional coordinates:
Pu  0.117  0.250  0.368
Rh  0.051  0.750  0.204
Rh  0.331  0.750  0.523
Pb  0.233  0.750  0.967
Pb  0.413  0.250  0.714

Output
The calculation puts the volume at 233.5 Å³ per cell. The value obtained for the energy relative to the elements is -0.24 eV/atom. The crystal system is monoclinic.



16.
Compound: Pu6Rh5Pb
Source: Alexandria
Functional: PBE-GGA
Structure: optimized geometry

abc: 15.552 4.490 7.561
angles: 90.00 94.03 90.00
Space group C2/m (No. 12)
Inequivalent atoms, fractional coordinates:
Pu  0.031  0.000  0.212
Pu  0.153  0.500  0.817
Pu  0.190  0.500  0.323
Rh  0.000  0.500  0.000
Rh  0.132  0.000  0.564
Rh  0.183  0.000  0.026
Pb  0.000  0.500  0.500

Output
The calculation puts the volume at 526.7 Å³ per cell. The value obtained for the energy relative to the elements is -0.30 eV/atom. The crystal system is monoclinic.



17.
Compound: Pu8Rh6Pb
Source: Alexandria
Functional: PBE-GGA
Structure: optimized geometry

abc: 6.2442 6.2442 26.2498
angles: 90.00 90.00 120.00
Space group R-3 (No. 148, hexagonal axes)
Inequivalent atoms, fractional coordinates:
Pu  0.0000  0.0000  0.1887
Pu  0.0033  0.6638  0.9771
Rh  0.0234  0.7457  0.0964
Pb  0.0000  0.0000  0.5000

Output
The calculation puts the volume at 886.4 Å³ per cell. The value obtained for the energy relative to the elements is -0.09 eV/atom. The crystal system is trigonal.



18.
Compound: Pu11Rh4Pb9
Source: Alexandria
Functional: PBE-GGA
Structure: optimized geometry

abc: 14.628 22.020 3.818
angles: 90.00 90.00 90.00
Space group Cmmm (No. 65)
Inequivalent atoms, fractional coordinates:
Pu  0.000  0.000  0.000
Pu  0.000  0.152  0.000
Pu  0.000  0.372  0.000
Pu  0.186  0.500  0.000
Pu  0.246  0.172  0.000
Rh  0.148  0.394  0.500
Pb  0.000  0.500  0.500
Pb  0.106  0.259  0.500
Pb  0.151  0.072  0.500

Output
The calculation puts the volume at 1229.7 Å³ per cell. The value obtained for the energy relative to the elements is -0.26 eV/atom. The crystal system is orthorhombic.



19.
Compound: Pu4Rh2Pb5
Source: Alexandria
Functional: PBE-GGA
Structure: optimized geometry

abc: 8.171 3.591 9.838
angles: 90.00 94.29 90.00
Space group P2/m (No. 10)
Inequivalent atoms, fractional coordinates:
Pu  0.197  0.000  0.340
Pu  0.203  0.000  0.930
Rh  0.085  0.500  0.137
Pb  0.146  0.500  0.634
Pb  0.461  0.500  0.161
Pb  0.500  0.500  0.500

Output
The calculation puts the volume at 287.9 Å³ per cell. The value obtained for the energy relative to the elements is -0.27 eV/atom. The crystal system is monoclinic.



20.
Compound: Pu12Rh6Pb
Source: Alexandria
Functional: PBE-GGA
Structure: optimized geometry

abc: 12.9528 12.9528 9.6539
angles: 90.00 90.00 120.00
Space group R-3m (No. 166, hexagonal axes)
Inequivalent atoms, fractional coordinates:
Pu  0.0000  0.3854  0.0000
Pu  0.0844  0.1688  0.8248
Rh  0.0486  0.5243  0.7410
Pb  0.0000  0.0000  0.5000

Output
The calculation puts the volume at 1402.7 Å³ per cell. The value obtained for the energy relative to the elements is -0.13 eV/atom. The crystal system is trigonal.